Material: RbScZnSe3
Method: DFT, PBE-GGA
State: optimized geometry

Computed properties:
Total DFT energy (no corrections) = -51.711 eV per cell
Spin magnetization = 0.000 μB per atom
Crystal system = monoclinic

Cell lengths 9.281, 9.281, 8.815 Å; angles 99.94, 99.94, 25.23 degrees
Fractional coordinates of all 12 atoms:
Rb (0.852, 0.852, 0.434)
Rb (0.148, 0.148, 0.566)
Sc (0.173, 0.173, 0.068)
Sc (0.827, 0.827, 0.932)
Se (0.000, 0.000, 0.000)
Se (0.323, 0.323, 0.133)
Se (0.662, 0.662, 0.267)
Se (0.500, 0.500, 0.500)
Se (0.338, 0.338, 0.733)
Se (0.677, 0.677, 0.867)
Zn (0.524, 0.524, 0.226)
Zn (0.476, 0.476, 0.774)